Entry 1:
Material: SrGdAgO3
Method: DFT, PBE-GGA
State: optimized geometry

Values from the calculation:
Calculated total energy   -6.29 eV per atom

Cell lengths 6.6134, 6.6134, 8.7596 Å; angles 90.00, 90.00, 147.83 degrees
Last column: nearest neighbours and their distance in Å.
Sites, in units of the cell vectors:
Sr 0.1788 0.8212 0.7500  4 O 2.40-2.46
Sr 0.8212 0.1788 0.2500  4 O 2.40-2.46
Gd 0.5000 0.5000 0.0000  6 O 2.31-2.36
Gd 0.5000 0.5000 0.5000  6 O 2.31-2.36
Ag 0.1167 0.8833 0.2500  2 O 2.05
Ag 0.8833 0.1167 0.7500  2 O 2.05
O 0.1162 0.8838 0.0161  1 Ag 2.05
O 0.1162 0.8838 0.4839  1 Ag 2.05
O 0.4428 0.5572 0.2500  2 Gd 2.31, 2 Sr 2.40
O 0.5572 0.4428 0.7500  2 Gd 2.31, 2 Sr 2.40
O 0.8838 0.1162 0.5161  1 Ag 2.05
O 0.8838 0.1162 0.9839  1 Ag 2.05

Entry 2:
Material: GdZnNO
Method: DFT, PBE-GGA
State: optimized geometry

Values from the calculation:
Calculated total energy   -6.34 eV per atom

Cell lengths 5.6647, 7.8714, 5.0611 Å; angles 90.00, 90.00, 90.00 degrees
Last column: nearest neighbours and their distance in Å.
Sites, in units of the cell vectors:
Gd 0.0388 0.1496 0.0000  1 O 2.24, 3 N 2.32-2.43
Gd 0.4612 0.1496 0.5000  1 O 2.24, 3 N 2.32-2.43
Gd 0.5388 0.8504 0.0000  1 O 2.24, 3 N 2.32-2.43
Gd 0.9612 0.8504 0.5000  1 O 2.24, 3 N 2.32-2.43
Zn 0.0564 0.6190 0.9815  3 O 1.95-2.04, 1 N 2.01
Zn 0.4436 0.6190 0.4815  3 O 1.95-2.04, 1 N 2.01
Zn 0.5564 0.3810 0.9815  3 O 1.95-2.04, 1 N 2.01
Zn 0.9436 0.3810 0.4815  3 O 1.95-2.04, 1 N 2.01
N 0.0531 0.1397 0.5197  1 Zn 2.01
N 0.4469 0.1397 0.0197  1 Zn 2.01
N 0.5531 0.8603 0.5197  1 Zn 2.01
N 0.9469 0.8603 0.0197  1 Zn 2.01
O 0.1036 0.5903 0.5849  3 Zn 1.95-2.04
O 0.3964 0.5903 0.0849  3 Zn 1.95-2.04
O 0.6036 0.4097 0.5849  3 Zn 1.95-2.04
O 0.8964 0.4097 0.0849  3 Zn 1.95-2.04

Entry 3:
Material: Hf5N
Method: DFT, PBE-GGA
State: optimized geometry

Values from the calculation:
Calculated total energy   -8.09 eV per atom

Cell lengths 5.6153, 5.6153, 5.1334 Å; angles 90.00, 90.00, 120.00 degrees
Last column: nearest neighbours and their distance in Å.
Sites, in units of the cell vectors:
Hf 0.0000 0.5000 0.0000  8 Hf 2.81-3.04
Hf 0.3333 0.6667 0.5000  9 Hf 3.04-3.24, 3 N 3.24
Hf 0.5000 0.0000 0.0000  8 Hf 2.81-3.04
Hf 0.5000 0.5000 0.0000  8 Hf 2.81-3.04
Hf 0.6667 0.3333 0.5000  9 Hf 3.04-3.24, 3 N 3.24
N 0.0000 0.0000 0.5000  6 Hf 3.24

Entry 4:
Material: TaRePd
Method: DFT, PBE-GGA
State: optimized geometry

Values from the calculation:
Calculated total energy   -9.12 eV per atom

Cell lengths 4.3268, 4.3268, 4.3268 Å; angles 60.00, 60.00, 60.00 degrees
Last column: nearest neighbours and their distance in Å.
Sites, in units of the cell vectors:
Ta 0.0000 0.0000 0.0000  4 Re 2.65
Re 0.7500 0.7500 0.7500  4 Ta 2.65, 4 Pd 2.65
Pd 0.5000 0.5000 0.5000  4 Re 2.65

Entry 5:
Material: TbAs
Method: DFT, PBE-GGA
State: optimized geometry

Values from the calculation:
Calculated total energy   -5.88 eV per atom

Cell lengths 4.0096, 4.0096, 3.6824 Å; angles 90.00, 90.00, 120.00 degrees
Last column: nearest neighbours and their distance in Å.
Sites, in units of the cell vectors:
Tb 0.0000 0.0000 0.0000  6 As 2.96
As 0.3333 0.6667 0.5000  6 Tb 2.96

Entry 6:
Material: SrHfN2
Method: DFT, PBE-GGA
State: optimized geometry

Values from the calculation:
Calculated total energy   -8.49 eV per atom

Cell lengths 4.0164, 4.0164, 8.2266 Å; angles 90.00, 90.00, 90.00 degrees
Last column: nearest neighbours and their distance in Å.
Sites, in units of the cell vectors:
Sr 0.2500 0.2500 0.1433  1 N 2.52
Sr 0.7500 0.7500 0.8567  1 N 2.52
Hf 0.2500 0.2500 0.5938  5 N 2.00-2.15
Hf 0.7500 0.7500 0.4062  5 N 2.00-2.15
N 0.2500 0.2500 0.8366  1 Hf 2.00
N 0.2500 0.7500 0.5000  4 Hf 2.15
N 0.7500 0.2500 0.5000  4 Hf 2.15
N 0.7500 0.7500 0.1634  1 Hf 2.00

Entry 7:
Material: PaAlCo
Method: DFT, PBE-GGA
State: optimized geometry

Values from the calculation:
Calculated total energy   -7.05 eV per atom

Cell lengths 4.3553, 4.3553, 4.3553 Å; angles 60.00, 60.00, 60.00 degrees
Last column: nearest neighbours and their distance in Å.
Sites, in units of the cell vectors:
Pa 0.0000 0.0000 0.0000  4 Co 2.67
Al 0.5000 0.5000 0.5000  4 Co 2.67
Co 0.7500 0.7500 0.7500  4 Al 2.67, 4 Pa 2.67

Entry 8:
Material: HfAlNi
Method: DFT, PBE-GGA
State: optimized geometry

Values from the calculation:
Calculated total energy   -6.93 eV per atom

Cell lengths 4.2024, 4.2024, 6.2505 Å; angles 90.00, 90.00, 120.00 degrees
Last column: nearest neighbours and their distance in Å.
Sites, in units of the cell vectors:
Hf 0.0000 0.0000 0.0000  6 Ni 2.75-3.05, 6 Al 2.86-2.91
Hf 0.0000 0.0000 0.5000  6 Ni 2.75-3.05, 6 Al 2.86-2.91
Al 0.3333 0.6667 0.2424  3 Ni 2.45
Al 0.6667 0.3333 0.7424  3 Ni 2.45
Ni 0.3333 0.6667 0.7944  3 Al 2.45
Ni 0.6667 0.3333 0.2944  3 Al 2.45

Entry 9:
Material: PrNdGe2Pd4
Method: DFT, PBE-GGA
State: optimized geometry

Values from the calculation:
Calculated total energy   -5.71 eV per atom

Cell lengths 4.4530, 4.4530, 9.4141 Å; angles 90.00, 90.00, 120.00 degrees
Last column: nearest neighbours and their distance in Å.
Sites, in units of the cell vectors:
Pr 0.0000 0.0000 0.0000  8 Pd 3.06-3.08
Nd 0.6667 0.3333 0.5000  8 Pd 3.04-3.05
Ge 0.3333 0.6667 0.2517  6 Pd 2.67
Ge 0.3333 0.6667 0.7483  6 Pd 2.67
Pd 0.0000 0.0000 0.3266  3 Ge 2.67, 3 Pd 2.93
Pd 0.0000 0.0000 0.6734  3 Ge 2.67, 3 Pd 2.93
Pd 0.6667 0.3333 0.1766  3 Ge 2.67, 3 Pd 2.93
Pd 0.6667 0.3333 0.8234  3 Ge 2.67, 3 Pd 2.93

Entry 10:
Material: Pr2Ho2Al
Method: DFT, PBE-GGA
State: optimized geometry

Values from the calculation:
Calculated total energy   -4.50 eV per atom

Cell lengths 6.8688, 6.8688, 6.8688 Å; angles 148.36, 107.40, 81.35 degrees
Last column: nearest neighbours and their distance in Å.
Sites, in units of the cell vectors:
Pr 0.1951 0.0000 0.1951  2 Al 3.11, 1 Pr 3.17
Pr 0.8049 0.0000 0.8049  2 Al 3.11, 1 Pr 3.17
Ho 0.2609 0.7609 0.5000  2 Al 3.12
Ho 0.7391 0.2391 0.5000  2 Al 3.12
Al 0.5000 0.5000 0.0000  4 Pr 3.11, 4 Ho 3.12

Entry 11:
Material: DyNbN2O
Method: DFT, PBE-GGA
State: optimized geometry

Values from the calculation:
Calculated total energy   -8.63 eV per atom

Cell lengths 6.2341, 6.2341, 12.2402 Å; angles 90.00, 90.00, 120.00 degrees
Last column: nearest neighbours and their distance in Å.
Sites, in units of the cell vectors:
Dy 0.0000 0.0000 0.0000  6 N 2.36-2.41, 1 O 2.49
Dy 0.0000 0.0000 0.5000  6 N 2.36-2.41, 1 O 2.49
Dy 0.3333 0.6667 0.4605  6 N 2.35-2.40
Dy 0.3333 0.6667 0.9605  6 N 2.35-2.40
Dy 0.6667 0.3333 0.4605  6 N 2.35-2.40
Dy 0.6667 0.3333 0.9605  6 N 2.35-2.40
Nb 0.0000 0.3335 0.2269  2 N 1.94-1.97, 3 O 2.09-2.10
Nb 0.0000 0.6665 0.7269  2 N 1.94-1.97, 3 O 2.09-2.10
Nb 0.3335 0.0000 0.2269  2 N 1.94-1.97, 3 O 2.09-2.10
Nb 0.3335 0.3335 0.7269  2 N 1.94-1.97, 3 O 2.09-2.10
Nb 0.6665 0.0000 0.7269  2 N 1.94-1.97, 3 O 2.09-2.10
Nb 0.6665 0.6665 0.2269  2 N 1.94-1.97, 3 O 2.09-2.10
N 0.0000 0.3062 0.3871  1 Nb 1.97
N 0.0000 0.3621 0.0692  1 Nb 1.94
N 0.0000 0.6379 0.5692  1 Nb 1.94
N 0.0000 0.6938 0.8871  1 Nb 1.97
N 0.3062 0.0000 0.3871  1 Nb 1.97
N 0.3062 0.3062 0.8871  1 Nb 1.97
N 0.3621 0.0000 0.0692  1 Nb 1.94
N 0.3621 0.3621 0.5692  1 Nb 1.94
N 0.6379 0.0000 0.5692  1 Nb 1.94
N 0.6379 0.6379 0.0692  1 Nb 1.94
N 0.6938 0.0000 0.8871  1 Nb 1.97
N 0.6938 0.6938 0.3871  1 Nb 1.97
O 0.0000 0.0000 0.2037  3 Nb 2.10
O 0.0000 0.0000 0.7037  3 Nb 2.10
O 0.3333 0.6667 0.2445  3 Nb 2.09
O 0.3333 0.6667 0.7445  3 Nb 2.09
O 0.6667 0.3333 0.2445  3 Nb 2.09
O 0.6667 0.3333 0.7445  3 Nb 2.09

Entry 12:
Material: Li4PuF8
Method: DFT, PBE-GGA
State: optimized geometry

Values from the calculation:
Calculated total energy   -5.92 eV per atom

Cell lengths 9.9557, 9.6965, 5.8508 Å; angles 90.00, 90.00, 90.00 degrees
Last column: nearest neighbours and their distance in Å.
Sites, in units of the cell vectors:
Li 0.0864 0.0224 0.1540  4 F 1.77-1.86
Li 0.0864 0.4776 0.1540  4 F 1.77-1.86
Li 0.1494 0.6186 0.6361  4 F 1.81-1.91
Li 0.1494 0.8814 0.6361  4 F 1.81-1.91
Li 0.3506 0.1186 0.1361  4 F 1.81-1.91
Li 0.3506 0.3814 0.1361  4 F 1.81-1.91
Li 0.4136 0.5224 0.6540  4 F 1.77-1.86
Li 0.4136 0.9776 0.6540  4 F 1.77-1.86
Li 0.5864 0.0224 0.3460  4 F 1.77-1.86
Li 0.5864 0.4776 0.3460  4 F 1.77-1.86
Li 0.6494 0.6186 0.8639  4 F 1.81-1.91
Li 0.6494 0.8814 0.8639  4 F 1.81-1.91
Li 0.8506 0.1186 0.3639  4 F 1.81-1.91
Li 0.8506 0.3814 0.3639  4 F 1.81-1.91
Li 0.9136 0.5224 0.8460  4 F 1.77-1.86
Li 0.9136 0.9776 0.8460  4 F 1.77-1.86
Pu 0.1512 0.2500 0.6420  8 F 2.21-2.28
Pu 0.3488 0.7500 0.1420  8 F 2.21-2.28
Pu 0.6512 0.2500 0.8580  8 F 2.21-2.28
Pu 0.8488 0.7500 0.3580  8 F 2.21-2.28
F 0.0315 0.1196 0.3960  2 Li 1.79-1.81
F 0.0315 0.3804 0.3960  2 Li 1.79-1.81
F 0.0415 0.1116 0.8838  2 Li 1.83-1.86
F 0.0415 0.3884 0.8838  2 Li 1.83-1.86
F 0.1870 0.7500 0.4006  2 Li 1.91
F 0.2120 0.7500 0.8397  2 Li 1.85
F 0.2474 0.0374 0.6118  2 Li 1.77-1.81
F 0.2474 0.4626 0.6118  2 Li 1.77-1.81
F 0.2526 0.5374 0.1118  2 Li 1.77-1.81
F 0.2526 0.9626 0.1118  2 Li 1.77-1.81
F 0.2880 0.2500 0.3397  2 Li 1.85
F 0.3130 0.2500 0.9006  2 Li 1.91
F 0.4585 0.6116 0.3838  2 Li 1.83-1.86
F 0.4585 0.8884 0.3838  2 Li 1.83-1.86
F 0.4685 0.6196 0.8960  2 Li 1.79-1.81
F 0.4685 0.8804 0.8960  2 Li 1.79-1.81
F 0.5315 0.1196 0.1040  2 Li 1.79-1.81
F 0.5315 0.3804 0.1040  2 Li 1.79-1.81
F 0.5415 0.1116 0.6162  2 Li 1.83-1.86
F 0.5415 0.3884 0.6162  2 Li 1.83-1.86
F 0.6870 0.7500 0.0994  2 Li 1.91
F 0.7120 0.7500 0.6603  2 Li 1.85
F 0.7474 0.0374 0.8882  2 Li 1.77-1.81
F 0.7474 0.4626 0.8882  2 Li 1.77-1.81
F 0.7526 0.5374 0.3882  2 Li 1.77-1.81
F 0.7526 0.9626 0.3882  2 Li 1.77-1.81
F 0.7880 0.2500 0.1603  2 Li 1.85
F 0.8130 0.2500 0.5994  2 Li 1.91
F 0.9585 0.6116 0.1162  2 Li 1.83-1.86
F 0.9585 0.8884 0.1162  2 Li 1.83-1.86
F 0.9685 0.6196 0.6040  2 Li 1.79-1.81
F 0.9685 0.8804 0.6040  2 Li 1.79-1.81

Look up the calculated total energy of the ninth one. -5.71 eV per atom